A crystal of CuHg3 relaxed with PBEsol. Source: Alexandria, functional SCAN.

Calculated values
- SG: R-3m
- Total magnetic moment: 0.00 μB per formula unit
- DOS at the Fermi energy: 0.226 states/eV per atom
- E_form: 0.66 eV per formula unit
- Energy: -219.03 eV for the cell shown

Unit cell a=9.1648 b=9.1648 c=9.1648 alpha=20.08 beta=20.08 gamma=20.08
Closest atoms and distances in Å follow each position.
Atoms (fractional coordinates):
Cu1 0.0000 0.0000 0.0000  6 Hg 2.69
Hg1 0.2609 0.2609 0.2609  3 Cu 2.69
Hg2 0.5000 0.5000 0.5000  12 Hg 3.14-3.20
Hg3 0.7392 0.7392 0.7392  3 Cu 2.69


A crystal of CuHg2 relaxed with PBEsol. Source: Alexandria, functional SCAN.

Calculated values
- SG: P6/mmm
- Total magnetic moment: 0.00 μB per formula unit
- DOS at the Fermi energy: 0.239 states/eV per atom
- E_form: 1.13 eV per formula unit
- Energy: -150.41 eV for the cell shown

Unit cell a=4.7674 b=4.7674 c=2.8455 alpha=90.00 beta=90.00 gamma=120.00
Closest atoms and distances in Å follow each position.
Atoms (fractional coordinates):
Cu1 0.0000 0.0000 0.0000  2 Cu 2.85, 12 Hg 3.10
Hg1 0.3333 0.6667 0.5000  5 Hg 2.75-2.85
Hg2 0.6667 0.3333 0.5000  5 Hg 2.75-2.85


A crystal of CuHg relaxed with PBEsol. Source: Alexandria, functional SCAN.

Calculated values
- SG: R-3m
- Total magnetic moment: 0.00 μB per formula unit
- DOS at the Fermi energy: 0.287 states/eV per atom
- E_form: 0.55 eV per formula unit
- Energy: -82.82 eV for the cell shown

Unit cell a=4.5679 b=4.5679 c=4.5679 alpha=38.30 beta=38.30 gamma=38.30
Closest atoms and distances in Å follow each position.
Atoms (fractional coordinates):
Cu1 0.0000 0.0000 0.0000  6 Hg 2.73, 6 Cu 3.00
Hg1 0.5000 0.5000 0.5000  6 Cu 2.73, 6 Hg 3.00


A crystal of CuHg2 relaxed with PBEsol. Source: Alexandria, functional SCAN.

Calculated values
- SG: R3m
- Total magnetic moment: 0.00 μB per formula unit
- DOS at the Fermi energy: 0.273 states/eV per atom
- E_form: 0.63 eV per formula unit
- Energy: -150.90 eV for the cell shown

Unit cell a=6.7808 b=6.7808 c=6.7808 alpha=26.66 beta=26.66 gamma=26.66
Closest atoms and distances in Å follow each position.
Atoms (fractional coordinates):
Cu1 0.0000 0.0000 0.0000  6 Hg 2.69-2.70
Hg1 0.5644 0.5644 0.5644  3 Cu 2.70
Hg2 0.7686 0.7686 0.7686  3 Cu 2.69


A crystal of CuHg relaxed with PBEsol. Source: Alexandria, functional SCAN.

Calculated values
- SG: P-6m2
- Total magnetic moment: 0.00 μB per formula unit
- DOS at the Fermi energy: 0.274 states/eV per atom
- E_form: 0.52 eV per formula unit
- Energy: -82.85 eV for the cell shown

Unit cell a=3.0259 b=3.0259 c=4.1568 alpha=90.00 beta=90.00 gamma=120.00
Closest atoms and distances in Å follow each position.
Atoms (fractional coordinates):
Cu1 0.0000 0.0000 0.0000  6 Hg 2.72, 6 Cu 3.03
Hg1 0.6667 0.3333 0.5000  6 Cu 2.72, 6 Hg 3.03


A crystal of KCu2HgI relaxed with PBEsol. Source: Alexandria, functional SCAN.

Calculated values
- SG: P4/mmm
- Total magnetic moment: 0.00 μB per formula unit
- DOS at the Fermi energy: 0.320 states/eV per atom
- Energy relative to the elements, uncorrected: 72 kJ/mol of formula units
- Energy: -142.89 eV for the cell shown

Unit cell a=4.8833 b=4.8833 c=6.5578 alpha=90.00 beta=90.00 gamma=90.00
Closest atoms and distances in Å follow each position.
Atoms (fractional coordinates):
K1 0.0000 0.0000 0.0000  2 Hg 3.28, 4 I 3.45
Cu1 0.0000 0.5000 0.5000  2 Hg 2.44
Cu2 0.5000 0.0000 0.5000  2 Hg 2.44
Hg1 0.0000 0.0000 0.5000  4 Cu 2.44
I1 0.5000 0.5000 0.0000  4 K 3.45


A crystal of CuHgI2N relaxed with PBEsol. Source: Alexandria, functional SCAN.

Calculated values
- SG: P4/mmm
- Total magnetic moment: 1.97 μB per formula unit
- DOS at the Fermi energy: 0.220 states/eV per atom
- Energy relative to the elements, uncorrected: 563 kJ/mol of formula units
- Energy: -160.31 eV for the cell shown

Unit cell a=5.9139 b=5.9139 c=4.0310 alpha=90.00 beta=90.00 gamma=90.00
Closest atoms and distances in Å follow each position.
Atoms (fractional coordinates):
Cu1 0.0000 0.0000 0.0000  8 I 3.58
Hg1 0.5000 0.5000 0.5000  2 N 2.02
I1 0.0000 0.5000 0.5000  2 Hg 2.96
I2 0.5000 0.0000 0.5000  2 Hg 2.96
N1 0.5000 0.5000 0.0000  2 Hg 2.02


A crystal of In2CuHg relaxed with PBEsol. Source: Alexandria, functional SCAN.

Calculated values
- SG: P4/mmm
- Total magnetic moment: 0.00 μB per formula unit
- DOS at the Fermi energy: 0.369 states/eV per atom
- E_form: 0.46 eV per formula unit
- Energy: -149.68 eV for the cell shown

Unit cell a=3.1302 b=3.1302 c=8.3384 alpha=90.00 beta=90.00 gamma=90.00
Closest atoms and distances in Å follow each position.
Atoms (fractional coordinates):
In1 0.0000 0.0000 0.2074  4 Cu 2.81, 4 In 3.13
In2 0.0000 0.0000 0.7926  4 Cu 2.81, 4 In 3.13
Cu1 0.5000 0.5000 0.0000  8 In 2.81, 4 Cu 3.13
Hg1 0.5000 0.5000 0.5000  4 Hg 3.13, 8 In 3.29


A crystal of In2CuHg relaxed with PBEsol. Source: Alexandria, functional SCAN.

Calculated values
- SG: Imm2
- Total magnetic moment: 0.00 μB per formula unit
- DOS at the Fermi energy: 0.323 states/eV per atom
- E_form: 0.30 eV per formula unit
- Energy: -149.83 eV for the cell shown

Unit cell a=6.8291 b=6.8291 c=6.8291 alpha=154.50 beta=142.10 gamma=46.24
Closest atoms and distances in Å follow each position.
Atoms (fractional coordinates):
In1 0.0000 0.0000 0.0000  2 Cu 2.78, 2 In 3.01, 4 Hg 3.09
In2 0.7007 0.2007 0.5000  4 Cu 2.69
Cu1 0.1857 0.6857 0.5000  6 In 2.69-2.78, 2 Hg 2.85
Hg1 0.3781 0.3781 0.0000  2 Cu 2.85, 2 Hg 3.01, 6 In 3.09-3.14


A crystal of In2CuHg relaxed with PBEsol. Source: Alexandria, functional SCAN.

Calculated values
- SG: I-4m2
- Total magnetic moment: 0.00 μB per formula unit
- DOS at the Fermi energy: 0.278 states/eV per atom
- E_form: 0.87 eV per formula unit
- Energy: -149.26 eV for the cell shown

Unit cell a=5.3571 b=5.3571 c=5.3571 alpha=132.98 beta=132.98 gamma=68.69
Closest atoms and distances in Å follow each position.
Atoms (fractional coordinates):
In1 0.0000 0.0000 0.0000  4 Cu 3.02, 4 In 3.08, 4 Hg 3.08
In2 0.7500 0.2500 0.5000  4 Hg 3.02, 4 In 3.08, 4 Cu 3.08
Cu1 0.5000 0.5000 0.0000  8 In 3.02-3.08, 4 Hg 3.08
Hg1 0.2500 0.7500 0.5000  8 In 3.02-3.08, 4 Cu 3.08


A crystal of CuHg2Ir relaxed with PBEsol. Source: Alexandria, functional SCAN.

Calculated values
- SG: F-43m
- Total magnetic moment: 0.00 μB per formula unit
- DOS at the Fermi energy: 0.424 states/eV per atom
- E_form: 2.29 eV per formula unit
- Energy: -220.34 eV for the cell shown
- Polymorph energy (0 for the lowest one): 121 meV/atom

Unit cell a=4.5298 b=4.5298 c=4.5298 alpha=60.00 beta=60.00 gamma=60.00
Closest atoms and distances in Å follow each position.
Atoms (fractional coordinates):
Cu1 0.0000 0.0000 0.0000  4 Hg 2.77, 4 Ir 2.77
Hg1 0.5000 0.5000 0.5000  4 Hg 2.77, 4 Ir 2.77
Hg2 0.7500 0.7500 0.7500  4 Hg 2.77, 4 Cu 2.77
Ir1 0.2500 0.2500 0.2500  4 Hg 2.77, 4 Cu 2.77


A crystal of CuHg2Ir relaxed with PBEsol. Source: Alexandria, functional SCAN.

Calculated values
- SG: I4/mmm
- Total magnetic moment: 0.00 μB per formula unit
- DOS at the Fermi energy: 0.345 states/eV per atom
- E_form: 1.80 eV per formula unit
- Energy: -220.83 eV for the cell shown
- Polymorph energy (0 for the lowest one): 0 meV/atom

Unit cell a=4.7619 b=4.7619 c=4.7619 alpha=127.73 beta=127.73 gamma=77.06
Closest atoms and distances in Å follow each position.
Atoms (fractional coordinates):
Cu1 0.0000 0.0000 0.0000  8 Hg 2.81, 4 Ir 2.97
Hg1 0.2500 0.7500 0.5000  4 Ir 2.81, 4 Cu 2.81, 4 Hg 2.97
Hg2 0.7500 0.2500 0.5000  4 Ir 2.81, 4 Cu 2.81, 4 Hg 2.97
Ir1 0.5000 0.5000 0.0000  8 Hg 2.81, 4 Cu 2.97


A crystal of CuHgIr2 relaxed with PBEsol. Source: Alexandria, functional SCAN.

Calculated values
- SG: Fm-3m
- Total magnetic moment: 1.07 μB per formula unit
- DOS at the Fermi energy: 1.272 states/eV per atom
- E_form: 2.83 eV per formula unit
- Energy: -222.73 eV for the cell shown
- Polymorph energy (0 for the lowest one): 363 meV/atom

Unit cell a=4.3820 b=4.3820 c=4.3820 alpha=60.00 beta=60.00 gamma=60.00
Closest atoms and distances in Å follow each position.
Atoms (fractional coordinates):
Cu1 0.0000 0.0000 0.0000  8 Ir 2.68
Hg1 0.5000 0.5000 0.5000  8 Ir 2.68
Ir1 0.2500 0.2500 0.2500  4 Hg 2.68, 4 Cu 2.68
Ir2 0.7500 0.7500 0.7500  4 Hg 2.68, 4 Cu 2.68


A crystal of Cu2HgIr relaxed with PBEsol. Source: Alexandria, functional SCAN.

Calculated values
- SG: Immm
- Total magnetic moment: 0.00 μB per formula unit
- DOS at the Fermi energy: 0.628 states/eV per atom
- E_form: 1.47 eV per formula unit
- Energy: -168.20 eV for the cell shown
- Polymorph energy (0 for the lowest one): 76 meV/atom

Unit cell a=5.1025 b=5.1025 c=5.1025 alpha=146.28 beta=127.44 gamma=63.92
Closest atoms and distances in Å follow each position.
Atoms (fractional coordinates):
Cu1 0.2432 0.2432 0.0000  2 Ir 2.57, 2 Hg 2.67, 4 Cu 2.70
Cu2 0.7568 0.7568 0.0000  2 Ir 2.57, 2 Hg 2.67, 4 Cu 2.70
Hg1 0.5000 0.0000 0.5000  4 Cu 2.67, 4 Ir 2.70, 2 Hg 2.96
Ir1 0.0000 0.5000 0.5000  4 Cu 2.57, 4 Hg 2.70


A crystal of CuHgIr4 relaxed with PBEsol. Source: Alexandria, functional SCAN.

Calculated values
- SG: F-43m
- Total magnetic moment: 0.00 μB per formula unit
- DOS at the Fermi energy: 1.065 states/eV per atom
- E_form: 3.99 eV per formula unit
- Energy: -363.77 eV for the cell shown

Unit cell a=5.1478 b=5.1478 c=5.1478 alpha=60.00 beta=60.00 gamma=60.00
Closest atoms and distances in Å follow each position.
Atoms (fractional coordinates):
Cu1 0.0000 0.0000 0.0000  12 Ir 3.02, 4 Hg 3.15
Hg1 0.2500 0.2500 0.2500  12 Ir 3.02, 4 Cu 3.15
Ir1 0.1244 0.6252 0.6252  6 Ir 2.57-2.58
Ir2 0.6252 0.1244 0.6252  6 Ir 2.57-2.58
Ir3 0.6252 0.6252 0.1244  6 Ir 2.57-2.58
Ir4 0.6252 0.6252 0.6252  6 Ir 2.57-2.58


A crystal of Cu2HgIr relaxed with PBEsol. Source: Alexandria, functional SCAN.

Calculated values
- SG: P4mm
- Total magnetic moment: 0.00 μB per formula unit
- DOS at the Fermi energy: 0.600 states/eV per atom
- E_form: 1.18 eV per formula unit
- Energy: -168.49 eV for the cell shown
- Polymorph energy (0 for the lowest one): 3 meV/atom

Unit cell a=2.9228 b=2.9228 c=6.5863 alpha=90.00 beta=90.00 gamma=90.00
Closest atoms and distances in Å follow each position.
Atoms (fractional coordinates):
Cu1 0.0000 0.0000 0.0000  4 Cu 2.45, 4 Ir 2.54
Cu2 0.5000 0.5000 0.2007  4 Cu 2.45, 4 Hg 2.74
Hg1 0.0000 0.0000 0.4735  4 Cu 2.74, 4 Ir 2.87, 4 Hg 2.92
Ir1 0.5000 0.5000 0.7749  5 Cu 2.54-2.80


A crystal of Cu2HgIr relaxed with PBEsol. Source: Alexandria, functional SCAN.

Calculated values
- SG: Cm
- Total magnetic moment: 0.35 μB per formula unit
- DOS at the Fermi energy: 0.500 states/eV per atom
- E_form: 1.16 eV per formula unit
- Energy: -168.50 eV for the cell shown
- Polymorph energy (0 for the lowest one): 0 meV/atom

Unit cell a=4.9247 b=4.9247 c=4.4273 alpha=110.23 beta=110.23 gamma=34.05
Closest atoms and distances in Å follow each position.
Atoms (fractional coordinates):
Cu1 0.0000 0.0000 0.0000  2 Cu 2.52, 3 Ir 2.62-2.73, 4 Hg 2.63-2.66
Cu2 0.7262 0.7262 0.3043  2 Cu 2.52, 4 Ir 2.63-2.67, 3 Hg 2.66-2.72
Hg1 0.4800 0.4800 0.4886  7 Cu 2.63-2.72, 3 Ir 2.84-2.94, 2 Hg 2.88
Ir1 0.2514 0.2514 0.8287  7 Cu 2.62-2.73, 2 Hg 2.84, 2 Ir 2.88


A crystal of CuHg2Ir relaxed with PBEsol. Source: Alexandria, functional SCAN.

Calculated values
- SG: Cmmm
- Total magnetic moment: 0.00 μB per formula unit
- DOS at the Fermi energy: 0.457 states/eV per atom
- E_form: 1.92 eV per formula unit
- Energy: -220.71 eV for the cell shown
- Polymorph energy (0 for the lowest one): 28 meV/atom

Unit cell a=2.8822 b=2.8822 c=9.0915 alpha=90.00 beta=90.00 gamma=118.38
Closest atoms and distances in Å follow each position.
Atoms (fractional coordinates):
Cu1 0.0000 0.0000 0.0000  4 Hg 2.64, 6 Cu 2.88-2.95
Hg1 0.5000 0.5000 0.2406  2 Cu 2.64, 2 Ir 2.78, 6 Hg 2.88-2.95
Hg2 0.5000 0.5000 0.7594  2 Cu 2.64, 2 Ir 2.78, 6 Hg 2.88-2.95
Ir1 0.0000 0.0000 0.5000  4 Hg 2.78, 6 Ir 2.88-2.95


A crystal of CuHgIr2 relaxed with PBEsol. Source: Alexandria, functional SCAN.

Calculated values
- SG: Imm2
- Total magnetic moment: 0.00 μB per formula unit
- DOS at the Fermi energy: 1.199 states/eV per atom
- E_form: 2.20 eV per formula unit
- Energy: -223.36 eV for the cell shown
- Polymorph energy (0 for the lowest one): 206 meV/atom

Unit cell a=5.3229 b=5.3229 c=5.3229 alpha=149.15 beta=128.24 gamma=61.48
Closest atoms and distances in Å follow each position.
Atoms (fractional coordinates):
Cu1 0.0000 0.0000 0.0000  6 Ir 2.60-2.73, 2 Hg 2.71, 2 Cu 2.83
Hg1 0.2521 0.7521 0.5000  2 Cu 2.71, 6 Ir 2.72-2.85, 2 Hg 2.83
Ir1 0.5225 0.5225 0.0000  4 Ir 2.60-2.83, 4 Cu 2.73, 2 Hg 2.85
Ir2 0.7611 0.2611 0.5000  4 Ir 2.60-2.83, 2 Cu 2.60, 4 Hg 2.72


A crystal of Cu2HgIr relaxed with PBEsol. Source: Alexandria, functional SCAN.

Calculated values
- SG: Cmm2
- Total magnetic moment: 0.00 μB per formula unit
- DOS at the Fermi energy: 0.683 states/eV per atom
- E_form: 1.56 eV per formula unit
- Energy: -168.10 eV for the cell shown
- Polymorph energy (0 for the lowest one): 99 meV/atom

Unit cell a=2.7173 b=2.7173 c=8.9348 alpha=90.00 beta=90.00 gamma=117.86
Closest atoms and distances in Å follow each position.
Atoms (fractional coordinates):
Cu1 0.0000 0.0000 0.0000  2 Cu 2.41, 2 Ir 2.53
Cu2 0.5000 0.5000 0.2195  2 Cu 2.41
Hg1 0.0000 0.0000 0.4819  6 Hg 2.72-2.80, 2 Cu 2.73, 2 Ir 2.88
Ir1 0.5000 0.5000 0.7640  2 Cu 2.53, 6 Ir 2.72-2.80